# KLa2Zn GGA-PBE optimized geometry
# - total moment (μB/cell) = 0.1
# - E_tot (eV/atom) = -2.7234
# - offset from the most stable computed form (meV/atom) = 317.9
data_KLa2Zn
_cell_length_a 5.1601
_cell_length_b 5.1601
_cell_length_c 4.9839
_cell_angle_alpha 90.00
_cell_angle_beta 90.00
_cell_angle_gamma 90.00
_space_group_name_H-M_alt 'P 4/m m m'
_space_group_IT_number 123
_space_group_name_Hall '-P 4 2'
loop_
_atom_site_label
_atom_site_type_symbol
_atom_site_fract_x
_atom_site_fract_y
_atom_site_fract_z
_atom_site_occupancy
K1 K 0.0000 0.0000 0.0000 1
La1 La 0.0000 0.5000 0.5000 1
Zn1 Zn 0.5000 0.5000 0.0000 1


# Ba2NaMg3Hg12 GGA-PBE optimized geometry
# - total moment (μB/cell) = 0.0
# - E_tot (eV/atom) = -0.9296
data_Ba2NaMg3Hg12
_cell_length_a 11.0546
_cell_length_b 11.0546
_cell_length_c 14.8810
_cell_angle_alpha 90.00
_cell_angle_beta 90.00
_cell_angle_gamma 120.00
_space_group_name_H-M_alt 'R -3 m'
_space_group_IT_number 166
_space_group_name_Hall '-R 3 2"'
loop_
_atom_site_label
_atom_site_type_symbol
_atom_site_fract_x
_atom_site_fract_y
_atom_site_fract_z
_atom_site_occupancy
Ba1 Ba 0.0000 0.0000 0.1595 1
Na1 Na 0.0000 0.0000 0.5000 1
Mg1 Mg 0.0000 0.5000 0.0000 1
Hg1 Hg 0.0172 0.5086 0.1974 1
Hg2 Hg 0.0202 0.5101 0.3941 1


# BiSbSe2 GGA-PBE optimized geometry
# - total moment (μB/cell) = 0.0
# - E_tot (eV/atom) = -3.8117
# - offset from the most stable computed form (meV/atom) = 32.5
# - formation energy from raw total energies (eV per atom) = -0.07
data_BiSbSe2
_cell_length_a 3.6619
_cell_length_b 5.7900
_cell_length_c 5.7611
_cell_angle_alpha 90.00
_cell_angle_beta 108.41
_cell_angle_gamma 90.00
_space_group_name_H-M_alt 'P 1 m 1'
_space_group_IT_number 6
loop_
_space_group_symop_operation_xyz
'x,y,z'
'x,-y,z'
loop_
_atom_site_label
_atom_site_type_symbol
_atom_site_fract_x
_atom_site_fract_y
_atom_site_fract_z
_atom_site_occupancy
Bi1 Bi 0.0000 0.0000 0.0000 1
Sb1 Sb 0.8218 0.5000 0.4929 1
Se1 Se 0.0918 0.5000 0.9780 1
Se2 Se 0.7284 0.0000 0.4578 1


# NpSi GGA-PBE optimized geometry
# - total moment (μB/cell) = 0.0
# - E_tot (eV/atom) = -9.1018
# - formation energy from raw total energies (eV per atom) = 0.08
data_NpSi
_cell_length_a 9.5214
_cell_length_b 2.5948
_cell_length_c 5.4253
_cell_angle_alpha 90.00
_cell_angle_beta 90.00
_cell_angle_gamma 90.00
_space_group_name_H-M_alt 'P n m a'
_space_group_IT_number 62
loop_
_space_group_symop_operation_xyz
'x,y,z'
'-x,-y,-z'
'-x+1/2,-y,z+1/2'
'x+1/2,y,-z+1/2'
'x+1/2,-y+1/2,-z+1/2'
'-x+1/2,y+1/2,z+1/2'
'-x,y+1/2,-z'
'x,-y+1/2,z'
loop_
_atom_site_label
_atom_site_type_symbol
_atom_site_fract_x
_atom_site_fract_y
_atom_site_fract_z
_atom_site_occupancy
Np1 Np 0.2289 0.2500 0.0655 1
Si1 Si 0.0096 0.2500 0.6952 1


# YZrIn2 GGA-PBE optimized geometry
# - total moment (μB/cell) = 0.0
# - E_tot (eV/atom) = -5.3240
data_YZrIn2
_cell_length_a 9.9071
_cell_length_b 3.3508
_cell_length_c 6.2917
_cell_angle_alpha 90.00
_cell_angle_beta 98.50
_cell_angle_gamma 90.00
_space_group_name_H-M_alt 'C 1 2/m 1'
_space_group_IT_number 12
loop_
_space_group_symop_operation_xyz
'x,y,z'
'-x,-y,-z'
'-x,y,-z'
'x,-y,z'
'x+1/2,y+1/2,z'
'-x+1/2,-y+1/2,-z'
'-x+1/2,y+1/2,-z'
'x+1/2,-y+1/2,z'
loop_
_atom_site_label
_atom_site_type_symbol
_atom_site_fract_x
_atom_site_fract_y
_atom_site_fract_z
_atom_site_occupancy
Y1 Y 0.0000 0.0000 0.0000 1
Zr1 Zr 0.0000 0.5000 0.5000 1
In1 In 0.2472 0.0000 0.7307 1


# TaRhCl2 GGA-PBE optimized geometry
# - total moment (μB/cell) = 0.0
# - E_tot (eV/atom) = -6.1011
# - offset from the most stable computed form (meV/atom) = 281.8
# - formation energy from raw total energies (eV per atom) = -0.38
data_TaRhCl2
_cell_length_a 3.2160
_cell_length_b 3.2160
_cell_length_c 8.0506
_cell_angle_alpha 90.00
_cell_angle_beta 90.00
_cell_angle_gamma 90.00
_space_group_name_H-M_alt 'P 4 m m'
_space_group_IT_number 99
loop_
_space_group_symop_operation_xyz
'x,y,z'
'-y,x,z'
'-x,-y,z'
'y,-x,z'
'-x,y,z'
'y,x,z'
'x,-y,z'
'-y,-x,z'
loop_
_atom_site_label
_atom_site_type_symbol
_atom_site_fract_x
_atom_site_fract_y
_atom_site_fract_z
_atom_site_occupancy
Ta1 Ta 0.0000 0.0000 0.0000 1
Rh1 Rh 0.5000 0.5000 0.8397 1
Cl1 Cl 0.0000 0.0000 0.6523 1
Cl2 Cl 0.5000 0.5000 0.2316 1


Please write out number 6 again, unchanged.
# TaRhCl2 GGA-PBE optimized geometry
# - total moment (μB/cell) = 0.0
# - E_tot (eV/atom) = -6.1011
# - offset from the most stable computed form (meV/atom) = 281.8
# - formation energy from raw total energies (eV per atom) = -0.38
data_TaRhCl2
_cell_length_a 3.2160
_cell_length_b 3.2160
_cell_length_c 8.0506
_cell_angle_alpha 90.00
_cell_angle_beta 90.00
_cell_angle_gamma 90.00
_space_group_name_H-M_alt 'P 4 m m'
_space_group_IT_number 99
loop_
_space_group_symop_operation_xyz
'x,y,z'
'-y,x,z'
'-x,-y,z'
'y,-x,z'
'-x,y,z'
'y,x,z'
'x,-y,z'
'-y,-x,z'
loop_
_atom_site_label
_atom_site_type_symbol
_atom_site_fract_x
_atom_site_fract_y
_atom_site_fract_z
_atom_site_occupancy
Ta1 Ta 0.0000 0.0000 0.0000 1
Rh1 Rh 0.5000 0.5000 0.8397 1
Cl1 Cl 0.0000 0.0000 0.6523 1
Cl2 Cl 0.5000 0.5000 0.2316 1